Below is an optimized crystal structure of Sr2Zn4CdSi3, with properties calculated at the PBE level.

It has space group P-4m2 (No. 115), with a = 4.307 Å, b = 4.307 Å, c = 10.949 Å, α = 90.00°, β = 90.00° and γ = 90.00°. The inequivalent atoms are Sr at (0.000, 0.500, 0.238), Zn at (0.000, 0.000, 0.000), Zn at (0.000, 0.500, 0.646), Zn at (0.500, 0.500, 0.000), Cd at (0.000, 0.000, 0.500), Si at (0.000, 0.500, 0.871) and Si at (0.500, 0.500, 0.500).

For the electronic total energy, the calculation gives -28.36 eV/cell. The total magnetization comes out at 0.00 μB per formula unit. The energy relative to the elements, uncorrected is -0.272 eV/atom.